Compound: La2HgSb
Source: Alexandria
Functional: GGA-PBE
Structure: relaxed

a = 5.5384 Å, b = 5.5384 Å, c = 5.5384 Å
α = 60.00°, β = 60.00°, γ = 60.00°
Last column: nearest neighbours and their distance in Å.
Sites, in units of the cell vectors:
Sb (0.0000, 0.0000, 0.0000)  8 La 3.39
Hg (0.5000, 0.5000, 0.5000)  8 La 3.39
La (0.2500, 0.2500, 0.2500)  4 Hg 3.39, 4 Sb 3.39
La (0.7500, 0.7500, 0.7500)  4 Hg 3.39, 4 Sb 3.39

Output
- E above lowest polymorph: 79 meV/atom
- Density of states at the Fermi level: 3.4 states/eV per cell
- Total energy: -4.322 eV/atom
- Raw formation energy: -0.752 eV/atom
- Magnetic moment: 0.00 Bohr magnetons per cell
- ρ: 8.30 g cm⁻³

Compound: MgAl2Pb
Source: Alexandria
Functional: GGA-PBE
Structure: relaxed

a = 5.9845 Å, b = 5.9845 Å, c = 5.9845 Å
α = 147.20°, β = 128.28°, γ = 62.61°
Last column: nearest neighbours and their distance in Å.
Sites, in units of the cell vectors:
Al (0.9788, 0.9788, 0.0000)  2 Al 2.77
Al (0.7639, 0.2639, 0.5000)  2 Al 2.77, 2 Mg 3.03
Mg (0.5175, 0.5175, 0.0000)  6 Al 3.03-3.13, 2 Pb 3.30, 2 Mg 3.38
Pb (0.2398, 0.7398, 0.5000)  6 Al 3.12-3.16, 4 Mg 3.30-3.46, 2 Pb 3.38

Output
- Density of states at the Fermi level: 1.7 states/eV per cell
- Total energy: -3.027 eV/atom
- Magnetic moment: 0.00 Bohr magnetons per cell
- Calculated formation energy: 170 meV/atom
- ρ: 5.25 g cm⁻³